The following is a meta-GGA SCAN calculation of a crystal of OsPt2 relaxed with PBEsol, from Alexandria.

Structure (extended XYZ):
```
6
Lattice="-1.379 0.641 -2.286 -3.622 -2.183 3.222 0.145 6.250 1.665" Properties=species:S:1:pos:R:3 pbc="T T T"
Os -0.085 4.967 1.444
Os -4.772 -0.259 1.157
Pt -1.768 3.145 0.299
Pt -2.559 4.249 2.735
Pt -2.298 0.459 -0.134
Pt -3.089 1.563 2.302
```

Calculated values
magnetic moment = 0.000 μB/f.u.
space-group type = No. 12
DFT formation energy = 0.55 eV per formula unit
density = 21.9 g/cm3